[1]
DFT (PBE) results for crystalline Er2LuAu at its relaxed geometry.

Computed properties:
* energy of formation from the pure elements: -0.2629 eV/atom
* magnetization: 0.00 μB per formula unit

The structure in POSCAR format:
```
Er2LuAu
1.0
4.659 0.000 0.000
0.000 4.659 0.000
0.000 0.000 4.648
Er Lu Au
2 1 1
Cartesian
0.000 2.329 0.000
2.329 0.000 0.000
0.000 0.000 2.324
2.329 2.329 2.324
```


[2]
DFT (PBE) results for crystalline Sb2PdS2 at its relaxed geometry.

Computed properties:
* raw formation energy: 0.034 eV per atom
* magnetization: 0.00 μB per formula unit

The structure in POSCAR format:
```
Sb2PdS2
1.0
7.737 0.000 0.000
0.000 7.737 0.000
0.000 0.000 3.916
Sb Pd S
4 2 4
Cartesian
1.592 2.276 0.000
2.276 6.145 0.000
5.460 1.592 0.000
6.145 5.460 0.000
0.000 0.000 0.000
3.868 3.868 0.000
1.122 4.991 1.958
2.746 1.122 1.958
4.991 6.614 1.958
6.614 2.746 1.958
```


Repeat the first record exactly.
DFT (PBE) results for crystalline Er2LuAu at its relaxed geometry.

Computed properties:
* energy of formation from the pure elements: -0.2629 eV/atom
* magnetization: 0.00 μB per formula unit

The structure in POSCAR format:
```
Er2LuAu
1.0
4.659 0.000 0.000
0.000 4.659 0.000
0.000 0.000 4.648
Er Lu Au
2 1 1
Cartesian
0.000 2.329 0.000
2.329 0.000 0.000
0.000 0.000 2.324
2.329 2.329 2.324
```